No. 1
VASP calculation (GGA-PBEsol) on a geometry-optimized KHg2P structure.

a b c (Å): 3.530 4.976 5.422
angles (deg): 90.00 90.00 90.00
Positions (direct):
K1 0.000 0.000 0.000
Hg1 0.000 0.500 0.500
Hg2 0.500 0.500 0.000
P1 0.500 0.000 0.500

Results
ΔH_f (0 K) ... 0.184 eV/atom
Magnetic moment ... 0.00 Bohr magnetons per cell
Volume ... 23.810 A^3/atom



No. 2
VASP calculation (GGA-PBEsol) on a geometry-optimized AsRhBr structure.

a b c (Å): 6.186 6.186 6.186
angles (deg): 90.00 90.00 90.00
Positions (direct):
As1 0.000 0.000 0.000
As2 0.000 0.500 0.500
As3 0.500 0.000 0.500
As4 0.500 0.500 0.000
Rh1 0.000 0.000 0.500
Rh2 0.000 0.500 0.000
Rh3 0.500 0.000 0.000
Rh4 0.500 0.500 0.500
Br1 0.250 0.250 0.750
Br2 0.250 0.750 0.250
Br3 0.750 0.250 0.250
Br4 0.750 0.750 0.750

Results
Excess energy over the best structure of this formula in the dataset ... 1250.9 meV per atom
Magnetic moment ... 0.00 Bohr magnetons per cell
Volume ... 19.726 A^3/atom
Formation energy without anion corrections ... 1.01 eV per atom



No. 3
VASP calculation (GGA-PBEsol) on a geometry-optimized AlIrPd3 structure.

a b c (Å): 4.370 4.370 4.370
angles (deg): 90.00 90.00 90.00
Positions (direct):
Al1 0.000 0.000 0.000
Ir1 0.500 0.500 0.500
Pd1 0.000 0.000 0.500
Pd2 0.000 0.500 0.000
Pd3 0.500 0.000 0.000

Results
ΔH_f (0 K) ... 0.813 eV/atom
Magnetic moment ... 0.00 Bohr magnetons per cell
Volume ... 16.686 A^3/atom



No. 4
VASP calculation (GGA-PBEsol) on a geometry-optimized MgMo5 structure.

a b c (Å): 4.639 2.582 15.778
angles (deg): 90.00 90.00 90.00
Positions (direct):
Mg1 0.000 0.000 0.000
Mg2 0.000 0.500 0.500
Mo1 0.000 0.000 0.331
Mo2 0.000 0.000 0.665
Mo3 0.000 0.500 0.165
Mo4 0.000 0.500 0.831
Mo5 0.500 0.000 0.238
Mo6 0.500 0.000 0.571
Mo7 0.500 0.000 0.903
Mo8 0.500 0.500 0.071
Mo9 0.500 0.500 0.403
Mo10 0.500 0.500 0.738

Results
ΔH_f (0 K) ... 0.405 eV/atom
Magnetic moment ... 0.00 Bohr magnetons per cell
Volume ... 15.748 A^3/atom



No. 5
VASP calculation (GGA-PBEsol) on a geometry-optimized Os3C4 structure.

a b c (Å): 5.747 5.747 2.641
angles (deg): 90.00 90.00 120.00
Positions (direct):
Os1 0.000 0.500 0.000
Os2 0.500 0.000 0.000
Os3 0.500 0.500 0.000
C1 0.000 0.000 0.253
C2 0.000 0.000 0.747
C3 0.333 0.667 0.500
C4 0.667 0.333 0.500

Results
ΔH_f (0 K) ... 1.310 eV/atom
Magnetic moment ... 0.00 Bohr magnetons per cell
Volume ... 10.795 A^3/atom



No. 6
VASP calculation (GGA-PBEsol) on a geometry-optimized TiCrCuS4 structure.

a b c (Å): 6.914 6.914 6.914
angles (deg): 120.82 118.78 90.36
Positions (direct):
Ti1 0.500 0.000 0.000
Ti2 0.500 0.500 0.500
Cr1 0.000 0.000 0.000
Cr2 0.500 0.000 0.500
Cu1 0.123 0.373 0.750
Cu2 0.877 0.627 0.250
S1 0.251 0.243 0.008
S2 0.253 0.236 0.483
S3 0.253 0.769 0.017
S4 0.264 0.757 0.508
S5 0.736 0.243 0.492
S6 0.747 0.231 0.983
S7 0.747 0.764 0.517
S8 0.749 0.757 0.992

Results
Excess energy over the best structure of this formula in the dataset ... 0.0 meV per atom
Magnetic moment ... 5.79 Bohr magnetons per cell
Volume ... 16.738 A^3/atom
Formation energy without anion corrections ... -0.93 eV per atom



No. 7
VASP calculation (GGA-PBEsol) on a geometry-optimized LiMn2B2O6 structure.

a b c (Å): 5.205 5.692 9.066
angles (deg): 105.21 90.77 114.12
Positions (direct):
Li1 0.246 0.324 0.311
Li2 0.754 0.676 0.689
Mn1 0.224 0.250 0.629
Mn2 0.260 0.744 0.900
Mn3 0.740 0.256 0.100
Mn4 0.776 0.750 0.371
B1 0.225 0.259 0.970
B2 0.279 0.744 0.554
B3 0.721 0.256 0.446
B4 0.775 0.741 0.030
O1 0.068 0.841 0.569
O2 0.120 0.283 0.107
O3 0.167 0.360 0.857
O4 0.354 0.665 0.676
O5 0.391 0.704 0.420
O6 0.410 0.136 0.942
O7 0.590 0.864 0.058
O8 0.609 0.296 0.580
O9 0.646 0.335 0.324
O10 0.833 0.640 0.143
O11 0.880 0.717 0.893
O12 0.932 0.159 0.431

Results
Excess energy over the best structure of this formula in the dataset ... 0.0 meV per atom
Magnetic moment ... 18.00 Bohr magnetons per cell
Volume ... 10.651 A^3/atom
Formation energy without anion corrections ... -1.95 eV per atom



No. 8
VASP calculation (GGA-PBEsol) on a geometry-optimized Hg2PtBr structure.

a b c (Å): 3.334 3.334 7.612
angles (deg): 90.00 90.00 90.00
Positions (direct):
Hg1 0.000 0.000 0.000
Hg2 0.500 0.500 0.271
Pt1 0.000 0.000 0.466
Br1 0.500 0.500 0.694

Results
Excess energy over the best structure of this formula in the dataset ... 239.3 meV per atom
Magnetic moment ... 0.00 Bohr magnetons per cell
Volume ... 21.148 A^3/atom
Formation energy without anion corrections ... 0.29 eV per atom



No. 9
VASP calculation (GGA-PBEsol) on a geometry-optimized AlTe2Pt structure.

a b c (Å): 4.071 4.071 18.918
angles (deg): 90.00 90.00 120.00
Positions (direct):
Al1 0.000 0.000 0.000
Al2 0.333 0.667 0.667
Al3 0.667 0.333 0.333
Te1 0.000 0.000 0.543
Te2 0.000 0.000 0.751
Te3 0.333 0.667 0.209
Te4 0.333 0.667 0.418
Te5 0.667 0.333 0.084
Te6 0.667 0.333 0.876
Pt1 0.000 0.000 0.276
Pt2 0.333 0.667 0.943
Pt3 0.667 0.333 0.610

Results
Magnetic moment ... 0.00 Bohr magnetons per cell
Volume ... 22.631 A^3/atom
Formation energy without anion corrections ... -0.31 eV per atom



No. 10
VASP calculation (GGA-PBEsol) on a geometry-optimized Ta3Cl structure.

a b c (Å): 4.630 4.630 3.208
angles (deg): 90.00 90.00 90.00
Positions (direct):
Ta1 0.000 0.000 0.000
Ta2 0.000 0.500 0.500
Ta3 0.500 0.000 0.500
Cl1 0.500 0.500 0.000

Results
Magnetic moment ... 0.00 Bohr magnetons per cell
Volume ... 17.191 A^3/atom
Formation energy without anion corrections ... 0.57 eV per atom



No. 11
VASP calculation (GGA-PBEsol) on a geometry-optimized SbN2ClF structure.

a b c (Å): 4.132 4.132 4.148
angles (deg): 90.00 90.00 90.00
Positions (direct):
Sb1 0.000 0.000 0.000
N1 0.000 0.500 0.000
N2 0.500 0.000 0.000
Cl1 0.500 0.500 0.500
F1 0.000 0.000 0.500

Results
Magnetic moment ... 3.24 Bohr magnetons per cell
Volume ... 14.164 A^3/atom
Formation energy without anion corrections ... 0.68 eV per atom



No. 12
VASP calculation (GGA-PBEsol) on a geometry-optimized Rb2BiS structure.

a b c (Å): 11.471 11.471 5.537
angles (deg): 90.00 90.00 90.00
Positions (direct):
Rb1 0.101 0.250 0.125
Rb2 0.250 0.601 0.375
Rb3 0.250 0.899 0.875
Rb4 0.399 0.250 0.625
Rb5 0.601 0.750 0.625
Rb6 0.750 0.101 0.875
Rb7 0.750 0.399 0.375
Rb8 0.899 0.750 0.125
Bi1 0.000 0.000 0.500
Bi2 0.000 0.500 0.750
Bi3 0.500 0.000 0.250
Bi4 0.500 0.500 0.000
S1 0.000 0.000 0.000
S2 0.000 0.500 0.250
S3 0.500 0.000 0.750
S4 0.500 0.500 0.500

Results
Magnetic moment ... 0.00 Bohr magnetons per cell
Volume ... 45.539 A^3/atom
Formation energy without anion corrections ... -0.42 eV per atom



No. 13
VASP calculation (GGA-PBEsol) on a geometry-optimized Ca2Rh structure.

a b c (Å): 3.420 3.420 13.158
angles (deg): 90.00 90.00 90.00
Positions (direct):
Ca1 0.000 0.000 0.124
Ca2 0.000 0.000 0.876
Ca3 0.500 0.500 0.376
Ca4 0.500 0.500 0.624
Rh1 0.000 0.000 0.500
Rh2 0.500 0.500 0.000

Results
ΔH_f (0 K) ... -0.261 eV/atom
Magnetic moment ... 0.00 Bohr magnetons per cell
Volume ... 25.644 A^3/atom



No. 14
VASP calculation (GGA-PBEsol) on a geometry-optimized PdRhBr3 structure.

a b c (Å): 4.922 4.922 4.922
angles (deg): 90.00 90.00 90.00
Positions (direct):
Pd1 0.000 0.000 0.000
Rh1 0.500 0.500 0.500
Br1 0.000 0.500 0.500
Br2 0.500 0.000 0.500
Br3 0.500 0.500 0.000

Results
Excess energy over the best structure of this formula in the dataset ... 0.0 meV per atom
Magnetic moment ... 1.12 Bohr magnetons per cell
Volume ... 23.846 A^3/atom
Formation energy without anion corrections ... 0.44 eV per atom



No. 15
VASP calculation (GGA-PBEsol) on a geometry-optimized Ag24Au5 structure.

a b c (Å): 8.608 8.608 8.608
angles (deg): 109.47 109.47 109.47
Positions (direct):
Ag1 0.000 0.192 0.381
Ag2 0.000 0.381 0.192
Ag3 0.000 0.415 0.690
Ag4 0.000 0.690 0.415
Ag5 0.190 0.808 0.808
Ag6 0.192 0.000 0.381
Ag7 0.192 0.381 0.000
Ag8 0.275 0.585 0.585
Ag9 0.310 0.310 0.725
Ag10 0.310 0.725 0.310
Ag11 0.381 0.000 0.192
Ag12 0.381 0.192 0.000
Ag13 0.415 0.000 0.690
Ag14 0.415 0.690 0.000
Ag15 0.585 0.275 0.585
Ag16 0.585 0.585 0.275
Ag17 0.619 0.619 0.810
Ag18 0.619 0.810 0.619
Ag19 0.690 0.000 0.415
Ag20 0.690 0.415 0.000
Ag21 0.725 0.310 0.310
Ag22 0.808 0.190 0.808
Ag23 0.808 0.808 0.190
Ag24 0.810 0.619 0.619
Au1 0.000 0.000 0.000
Au2 0.000 0.000 0.661
Au3 0.000 0.661 0.000
Au4 0.339 0.339 0.339
Au5 0.661 0.000 0.000

Results
ΔH_f (0 K) ... 0.066 eV/atom
Magnetic moment ... 0.00 Bohr magnetons per cell
Volume ... 16.930 A^3/atom



No. 16
VASP calculation (GGA-PBEsol) on a geometry-optimized GaTcGe2Os structure.

a b c (Å): 4.667 4.667 4.799
angles (deg): 90.00 90.00 90.00
Positions (direct):
Ga1 0.000 0.000 0.000
Tc1 0.500 0.500 0.000
Ge1 0.000 0.500 0.500
Ge2 0.500 0.000 0.500
Os1 0.500 0.500 0.500

Results
ΔH_f (0 K) ... 0.988 eV/atom
Magnetic moment ... 1.11 Bohr magnetons per cell
Volume ... 20.902 A^3/atom



No. 17
VASP calculation (GGA-PBEsol) on a geometry-optimized SrCr2Si structure.

a b c (Å): 6.681 6.681 6.681
angles (deg): 90.00 90.00 90.00
Positions (direct):
Sr1 0.000 0.000 0.000
Sr2 0.000 0.500 0.500
Sr3 0.500 0.000 0.500
Sr4 0.500 0.500 0.000
Cr1 0.000 0.000 0.500
Cr2 0.000 0.500 0.000
Cr3 0.250 0.250 0.250
Cr4 0.250 0.750 0.750
Cr5 0.500 0.000 0.000
Cr6 0.500 0.500 0.500
Cr7 0.750 0.250 0.750
Cr8 0.750 0.750 0.250
Si1 0.250 0.250 0.750
Si2 0.250 0.750 0.250
Si3 0.750 0.250 0.250
Si4 0.750 0.750 0.750

Results
Magnetic moment ... 0.52 Bohr magnetons per cell
Volume ... 18.637 A^3/atom
Formation energy without anion corrections ... 0.59 eV per atom



No. 18
VASP calculation (GGA-PBEsol) on a geometry-optimized YInSe3 structure.

a b c (Å): 4.111 4.111 28.644
angles (deg): 90.00 90.00 120.00
Positions (direct):
Y1 0.000 0.000 0.000
Y2 0.333 0.667 0.667
Y3 0.667 0.333 0.333
In1 0.000 0.000 0.187
In2 0.333 0.667 0.853
In3 0.667 0.333 0.520
Se1 0.000 0.000 0.276
Se2 0.000 0.000 0.480
Se3 0.000 0.000 0.716
Se4 0.333 0.667 0.147
Se5 0.333 0.667 0.383
Se6 0.333 0.667 0.942
Se7 0.667 0.333 0.050
Se8 0.667 0.333 0.609
Se9 0.667 0.333 0.813

Results
Magnetic moment ... 0.00 Bohr magnetons per cell
Volume ... 27.949 A^3/atom
Formation energy without anion corrections ... -1.17 eV per atom



No. 19
VASP calculation (GGA-PBEsol) on a geometry-optimized LiMoPt2 structure.

a b c (Å): 3.295 3.295 5.306
angles (deg): 90.00 90.00 90.00
Positions (direct):
Li1 0.000 0.000 0.000
Mo1 0.500 0.500 0.282
Pt1 0.000 0.000 0.505
Pt2 0.500 0.500 0.802

Results
Excess energy over the best structure of this formula in the dataset ... 413.5 meV per atom
ΔH_f (0 K) ... -0.021 eV/atom
Magnetic moment ... 0.00 Bohr magnetons per cell
Volume ... 14.400 A^3/atom



No. 20
VASP calculation (GGA-PBEsol) on a geometry-optimized CrAsNF2 structure.

a b c (Å): 4.170 4.170 3.818
angles (deg): 90.00 90.00 90.00
Positions (direct):
Cr1 0.000 0.000 0.000
As1 0.500 0.500 0.500
N1 0.500 0.500 0.000
F1 0.000 0.500 0.500
F2 0.500 0.000 0.500

Results
Excess energy over the best structure of this formula in the dataset ... 421.7 meV per atom
Magnetic moment ... 4.66 Bohr magnetons per cell
Volume ... 13.280 A^3/atom
Formation energy without anion corrections ... -0.19 eV per atom